[1]
The following is a DFT calculation (SCAN) of Ni3Pt at its PBEsol-relaxed geometry.

## Properties
size of the total moment	2.9	μB per formula unit
crystal system	tetragonal
total energy	-29.7950	eV/atom
formation energy	-0.12	eV/atom

Cell lengths 3.599, 3.599, 4.401 Å; angles 114.13, 114.13, 90.00 degrees
Each line ends with the local moment (μB).
Element x y z (fractional)
Pt 0.000 0.000 0.000  0.40
Ni 0.750 0.250 0.500  0.94
Ni 0.500 0.500 0.000  0.85
Ni 0.250 0.750 0.500  0.94

[2]
The following is a DFT calculation (SCAN) of NiPt at its PBEsol-relaxed geometry.

## Properties
size of the total moment	1.2	μB per formula unit
crystal system	orthorhombic
total energy	-43.2821	eV/atom
formation energy	-0.10	eV/atom

Cell lengths 3.665, 5.303, 7.956 Å; angles 90.00, 90.00, 90.00 degrees
Each line ends with the local moment (μB).
Element x y z (fractional)
Ni 0.500 0.000 0.500  0.93
Pt 0.000 0.245 0.668  0.33
Ni 0.500 0.500 0.500  0.98
Ni 0.500 0.000 0.843  1.00
Pt 0.000 0.755 0.332  0.33
Pt 0.000 0.755 0.668  0.33
Pt 0.500 0.500 0.839  0.34
Ni 0.500 0.000 0.157  1.00
Pt 0.500 0.500 0.161  0.34
Ni 0.000 0.763 0.000  0.96
Ni 0.000 0.237 0.000  0.96
Pt 0.000 0.245 0.332  0.33

[3]
The following is a DFT calculation (SCAN) of Ni3Pt2 at its PBEsol-relaxed geometry.

## Properties
size of the total moment	2.9	μB per formula unit
crystal system	tetragonal
total energy	-37.8126	eV/atom
formation energy	-0.03	eV/atom

Cell lengths 2.660, 2.660, 8.903 Å; angles 98.59, 98.59, 90.00 degrees
Each line ends with the local moment (μB).
Element x y z (fractional)
Ni 0.500 0.500 0.000  0.89
Ni 0.088 0.088 0.175  0.87
Pt 0.690 0.690 0.380  0.25
Ni 0.912 0.912 0.825  0.87
Pt 0.310 0.310 0.620  0.25

[4]
The following is a DFT calculation (SCAN) of NiPt2 at its PBEsol-relaxed geometry.

## Properties
size of the total moment	1.6	μB per formula unit
crystal system	monoclinic
total energy	-52.3070	eV/atom
formation energy	-0.12	eV/atom

Cell lengths 4.685, 5.347, 6.545 Å; angles 90.00, 90.70, 90.00 degrees
Each line ends with the local moment (μB).
Element x y z (fractional)
Pt 0.254 0.126 0.004  0.21
Pt 0.907 0.125 0.657  0.31
Ni 0.081 0.375 0.337  1.18
Ni 0.919 0.625 0.663  1.18
Pt 0.746 0.874 0.996  0.21
Pt 0.246 0.626 0.996  0.21
Ni 0.581 0.125 0.337  1.18
Pt 0.407 0.375 0.657  0.31
Pt 0.593 0.625 0.343  0.31
Pt 0.754 0.374 0.004  0.21
Pt 0.093 0.875 0.343  0.31
Ni 0.419 0.875 0.663  1.18

- Which of these has the lowest total energy?
  NiPt2

- Among the records above, which one has the lowest size of the total moment?
  NiPt

- Which value of formation energy does entry 4 give?
  -0.12 eV/atom